Record 1
VASP calculation (PBE) on a relaxed structure of Rb3PmDy2Se6.

Summary:
ρ in kg/m³: 5238
Raw formation energy in eV per atom: -1.74
Uncorrected energy in eV per atom: -4.885

Cell lengths 7.409, 7.409, 8.377 Å; angles 98.48, 98.48, 120.00 degrees
Positions (direct):
Rb 0.000 0.000 0.000
Rb 0.334 0.666 0.000
Rb 0.666 0.334 0.000
Pm 0.500 0.500 0.500
Dy 0.167 0.833 0.500
Dy 0.833 0.167 0.500
Se 0.095 0.434 0.303
Se 0.226 0.226 0.697
Se 0.434 0.095 0.303
Se 0.566 0.905 0.697
Se 0.774 0.774 0.303
Se 0.905 0.566 0.697

Record 2
VASP calculation (PBE) on a relaxed structure of Ti4Nb2C.

Summary:
ρ in kg/m³: 5427
Energy of formation in eV per formula unit: 0.55
Uncorrected energy in eV per atom: -8.627

Cell lengths 7.807, 7.807, 7.807 Å; angles 149.94, 149.94, 43.03 degrees
Positions (direct):
Ti 0.000 0.500 0.500
Ti 0.144 0.144 0.000
Ti 0.500 0.000 0.500
Ti 0.856 0.856 0.000
Nb 0.343 0.343 0.000
Nb 0.657 0.657 0.000
C 0.000 0.000 0.000

Record 3
VASP calculation (PBE) on a relaxed structure of La14NdGa.

Summary:
ρ in kg/m³: 6479
Energy of formation in eV per formula unit: -0.78
Uncorrected energy in eV per atom: -4.847

Cell lengths 10.310, 7.325, 7.325 Å; angles 90.05, 90.00, 90.00 degrees
Positions (direct):
La 0.000 0.000 0.000
La 0.000 0.000 0.497
La 0.000 0.497 0.000
La 0.000 0.499 0.499
La 0.259 0.736 0.736
La 0.261 0.263 0.736
La 0.261 0.736 0.263
La 0.263 0.263 0.263
La 0.500 0.502 0.996
La 0.500 0.996 0.502
La 0.737 0.263 0.263
La 0.739 0.263 0.736
La 0.739 0.736 0.263
La 0.741 0.736 0.736
Nd 0.500 0.999 0.999
Ga 0.500 0.500 0.500